{"formula": "RbDyPbSe3", "functional": "PBE", "state": "relaxed", "magnetic_moment_mub_per_cell": 0.0, "total_energy_ev_per_atom": -4.4806, "volume_a3_per_atom": 36.91, "sg": "Cmcm (63)", "density_g_cm3": 5.2, "cell": [[2.095, -8.755, 0.000], [2.095, 8.755, 0.000], [0.000, 0.000, 12.076]], "species": ["Rb", "Rb", "Dy", "Dy", "Pb", "Pb", "Se", "Se", "Se", "Se", "Se", "Se"], "fractional_positions": [[0.177, 0.823, 0.750], [0.823, 0.177, 0.250], [0.500, 0.500, 0.000], [0.500, 0.500, 0.500], [0.106, 0.894, 0.250], [0.894, 0.106, 0.750], [0.111, 0.889, 0.004], [0.111, 0.889, 0.496], [0.496, 0.504, 0.250], [0.504, 0.496, 0.750], [0.889, 0.111, 0.504], [0.889, 0.111, 0.996]]}